## USn2As2Rh7 (PBE-GGA)

Data for crystalline USn2As2Rh7 at its relaxed geometry.

Summary:
E, eV per atom: -7.103
ΔH_f (0 K), kJ per mole of atoms: -41.7
Volume, Å³ per cell: 222.50
Magnetic moment, μB per formula unit: 0.00
Mass density, kg/m³: 10042

Cell: 3.9149 3.9149 14.6262 Å, 94.92 94.92 90.12°
Closest atoms and distances in Å follow each position.
Sites, in units of the cell vectors:
U 0.0000 0.0000 0.0000  12 Rh 2.77-2.83
Sn 0.1318 0.1318 0.4082  5 Rh 2.73-2.80
Sn 0.8682 0.8682 0.5918  5 Rh 2.73-2.80
As 0.4207 0.4207 0.7554  5 Rh 2.46-2.47
As 0.5793 0.5793 0.2446  5 Rh 2.46-2.47
Rh 0.0453 0.5453 0.1405  2 As 2.47, 2 Rh 2.77
Rh 0.3724 0.3724 0.5859  1 As 2.46, 1 Sn 2.73
Rh 0.4547 0.9547 0.8595  2 As 2.47, 2 Rh 2.77
Rh 0.5000 0.5000 0.0000  4 U 2.77, 8 Rh 2.83
Rh 0.5453 0.0453 0.1405  2 As 2.47, 2 Rh 2.77
Rh 0.6276 0.6276 0.4141  1 As 2.46, 1 Sn 2.73
Rh 0.9547 0.4547 0.8595  2 As 2.47, 2 Rh 2.77